Entry 1:
Be2CdNi2: relaxed, PBE.

a b c (Å): 3.392 3.392 5.842
angles (deg): 73.13 73.13 90.00
Element x y z (fractional)
1 Ni 0.384 0.384 0.233
2 Ni 0.616 0.616 0.767
3 Be 0.750 0.250 0.500
4 Be 0.250 0.750 0.500
5 Cd 0.000 0.000 0.000

Computed properties:
* raw total energy: -19.64 eV per cell
* theoretical density: 6.714 g/cm³
* relative energy among the computed polymorphs: 213 meV per atom
* symmetry: I4/mmm, No. 139

---

Entry 2:
Er5Ni2Te2: relaxed, PBE.

a b c (Å): 7.611 7.580 8.598
angles (deg): 90.00 63.73 90.00
Element x y z (fractional)
1 Er 0.000 0.000 0.000
2 Er 0.500 0.500 0.000
3 Er 0.457 0.159 0.767
4 Er 0.776 0.841 0.767
5 Er 0.276 0.659 0.767
6 Er 0.957 0.341 0.767
7 Er 0.543 0.841 0.233
8 Er 0.224 0.159 0.233
9 Er 0.724 0.341 0.233
10 Er 0.043 0.659 0.233
11 Ni 0.133 0.370 0.000
12 Ni 0.867 0.630 0.000
13 Ni 0.367 0.870 0.000
14 Ni 0.633 0.130 0.000
15 Te 0.209 0.000 0.582
16 Te 0.709 0.500 0.582
17 Te 0.791 0.000 0.418
18 Te 0.291 0.500 0.418

Computed properties:
* raw total energy: -95.49 eV per cell
* raw formation energy: -0.7873 eV/atom
* theoretical density: 9.027 g/cm³
* relative energy among the computed polymorphs: 31 meV per atom
* symmetry: Cmce, No. 64

---

Entry 3:
LiBr3: relaxed, PBE.

a b c (Å): 4.797 4.797 4.797
angles (deg): 90.00 90.00 90.00
Element x y z (fractional)
1 Br 0.000 0.500 0.500
2 Br 0.500 0.000 0.500
3 Br 0.500 0.500 0.000
4 Li 0.000 0.000 0.000

Computed properties:
* raw total energy: -7.75 eV per cell
* raw formation energy: -0.2048 eV/atom
* theoretical density: 3.711 g/cm³
* relative energy among the computed polymorphs: 525 meV per atom
* symmetry: Pm-3m, No. 221